# AcTbPm6Ho2 (PBE-GGA, relaxed)
# Calculated volume ... 34.9 A^3/atom
# Energy of formation from the pure elements ... 121 meV per atom
# Theoretical density ... 7.54 Mg/m³
data_AcTbPm6Ho2
_chemical_formula_sum 'Ac4 Tb4 Pm24 Ho8'
_space_group_name_H-M_alt 'C 1 2/c 1'
_space_group_IT_number 15
_cell_length_a 9.377
_cell_length_b 15.407
_cell_length_c 9.723
_cell_angle_alpha 90.00
_cell_angle_beta 95.76
_cell_angle_gamma 90.00
loop_
_space_group_symop_operation_xyz
'x,y,z'
'-x,-y,-z'
'-x,y,-z+1/2'
'x,-y,z+1/2'
'x+1/2,y+1/2,z'
'-x+1/2,-y+1/2,-z'
'-x+1/2,y+1/2,-z+1/2'
'x+1/2,-y+1/2,z+1/2'
loop_
_atom_site_label
_atom_site_fract_x
_atom_site_fract_y
_atom_site_fract_z
_atom_site_occupancy
Ac1 0.000 0.029 0.250 1
Tb1 0.000 0.412 0.750 1
Pm1 0.063 0.184 0.945 1
Pm2 0.099 0.390 0.118 1
Pm3 0.218 0.228 0.318 1
Ho1 0.242 0.446 0.452 1

=====

# SmMg2Pd8 (PBE-GGA, relaxed)
# Calculated volume ... 16.7 A^3/atom
# Energy of formation from the pure elements ... -582 meV per atom
# Theoretical density ... 9.47 Mg/m³
data_SmMg2Pd8
_chemical_formula_sum 'Sm2 Mg4 Pd16'
_space_group_name_H-M_alt 'C 1 2/m 1'
_space_group_IT_number 12
_cell_length_a 14.443
_cell_length_b 4.137
_cell_length_c 6.425
_cell_angle_alpha 90.00
_cell_angle_beta 106.45
_cell_angle_gamma 90.00
loop_
_space_group_symop_operation_xyz
'x,y,z'
'-x,-y,-z'
'-x,y,-z'
'x,-y,z'
'x+1/2,y+1/2,z'
'-x+1/2,-y+1/2,-z'
'-x+1/2,y+1/2,-z'
'x+1/2,-y+1/2,z'
loop_
_atom_site_label
_atom_site_fract_x
_atom_site_fract_y
_atom_site_fract_z
_atom_site_occupancy
Sm1 0.000 0.000 0.000 1
Mg1 0.223 0.500 0.654 1
Pd1 0.043 0.500 0.719 1
Pd2 0.097 0.000 0.470 1
Pd3 0.145 0.500 0.200 1
Pd4 0.183 0.000 0.917 1

=====

# AcNd8Sm4 (PBE-GGA, relaxed)
# Calculated volume ... 39.6 A^3/atom
# Energy of formation from the pure elements ... 478 meV per atom
# Theoretical density ... 6.40 Mg/m³
data_AcNd8Sm4
_chemical_formula_sum 'Ac3 Nd24 Sm12'
_space_group_name_H-M_alt 'R -3 m'
_space_group_IT_number 166
_space_group_name_Hall '-R 3 2"'
_cell_length_a 11.4262
_cell_length_b 11.4262
_cell_length_c 13.6537
_cell_angle_alpha 90.00
_cell_angle_beta 90.00
_cell_angle_gamma 120.00
loop_
_atom_site_label
_atom_site_fract_x
_atom_site_fract_y
_atom_site_fract_z
_atom_site_occupancy
Ac1 0.0000 0.0000 0.0000 1
Nd1 0.0000 0.0000 0.2648 1
Nd2 0.0150 0.5075 0.2409 1
Sm1 0.0000 0.0000 0.5000 1
Sm2 0.0000 0.5000 0.5000 1

=====

# ScAgP4 (PBE-GGA, relaxed)
# Calculated volume ... 16.1 A^3/atom
# Energy of formation from the pure elements ... 138 meV per atom
# Theoretical density ... 4.75 Mg/m³
data_ScAgP4
_chemical_formula_sum 'Sc4 Ag4 P16'
_space_group_name_H-M_alt 'F -4 3 m'
_space_group_IT_number 216
_space_group_name_Hall 'F -4 2 3'
_cell_length_a 7.288
_cell_length_b 7.288
_cell_length_c 7.288
_cell_angle_alpha 90.00
_cell_angle_beta 90.00
_cell_angle_gamma 90.00
loop_
_atom_site_label
_atom_site_fract_x
_atom_site_fract_y
_atom_site_fract_z
_atom_site_occupancy
Sc1 0.000 0.000 0.000 1
Ag1 0.250 0.250 0.250 1
P1 0.123 0.123 0.623 1

=====

# LiBeInPt (PBE-GGA, relaxed)
# Calculated volume ... 14.8 A^3/atom
# Energy of formation from the pure elements ... -361 meV per atom
# Theoretical density ... 9.12 Mg/m³
data_LiBeInPt
_chemical_formula_sum 'Li4 Be4 In4 Pt4'
_space_group_name_H-M_alt 'F -4 3 m'
_space_group_IT_number 216
_space_group_name_Hall 'F -4 2 3'
_cell_length_a 6.191
_cell_length_b 6.191
_cell_length_c 6.191
_cell_angle_alpha 90.00
_cell_angle_beta 90.00
_cell_angle_gamma 90.00
loop_
_atom_site_label
_atom_site_fract_x
_atom_site_fract_y
_atom_site_fract_z
_atom_site_occupancy
Li1 0.000 0.000 0.000 1
Be1 0.250 0.250 0.750 1
In1 0.250 0.250 0.250 1
Pt1 0.000 0.000 0.500 1

=====

# Tm6Mg5Bi (PBE-GGA, relaxed)
# Calculated volume ... 26.4 A^3/atom
# Energy of formation from the pure elements ... -161 meV per atom
# Theoretical density ... 7.04 Mg/m³
data_Tm6Mg5Bi
_chemical_formula_sum 'Tm6 Mg5 Bi1'
_space_group_name_H-M_alt 'P 1 2/m 1'
_space_group_IT_number 10
_cell_length_a 5.355
_cell_length_b 7.356
_cell_length_c 8.480
_cell_angle_alpha 90.00
_cell_angle_beta 108.35
_cell_angle_gamma 90.00
loop_
_space_group_symop_operation_xyz
'x,y,z'
'-x,-y,-z'
'-x,y,-z'
'x,-y,z'
loop_
_atom_site_label
_atom_site_fract_x
_atom_site_fract_y
_atom_site_fract_z
_atom_site_occupancy
Tm1 0.000 0.247 0.000 1
Tm2 0.330 0.243 0.661 1
Mg1 0.164 0.000 0.327 1
Mg2 0.173 0.500 0.347 1
Mg3 0.500 0.000 0.000 1
Bi1 0.500 0.500 0.000 1

=====

Number 1: VASP energy -4.518 eV per atom. Number 2: VASP energy -5.078 eV per atom. Number 3: VASP energy -4.224 eV per atom. Number 4: VASP energy -4.999 eV per atom. Number 5: VASP energy -3.965 eV per atom. Number 6: VASP energy -3.385 eV per atom.